Record 1
Entry from Alexandria via LeMat-Bulk: TeH3F after structural relaxation (PBE-GGA).

Lattice parameters (Å, degrees): 3.600 3.600 3.600 90.00 90.00 90.00
Fractional positions:
H: 0.000 0.500 0.000
H: 0.000 0.000 0.500
H: 0.500 0.000 0.000
Te: 0.500 0.500 0.500
F: 0.000 0.000 0.000

Mass density, Mg/m³: 5.33

=====

Record 2
Entry from Alexandria via LeMat-Bulk: LaRu2Pt after structural relaxation (PBE-GGA).

Lattice parameters (Å, degrees): 5.096 5.096 5.096 133.48 129.28 71.26
Fractional positions:
La: 0.509 0.509 0.000
Pt: 0.247 0.747 0.500
Ru: 0.982 0.982 0.000
Ru: 0.762 0.262 0.500

Mass density, Mg/m³: 12.24
Formation energy from the elements, eV per atom: 0.02

=====

Magnetization, respectively: 0.00, 0.00 Bohr magnetons per cell.
Distance to the lowest polymorph of the same formula, respectively: 0.758, 0.188 eV per atom.
DOS at the Fermi energy, respectively: 1.59, 4.63 states/eV/f.u..